# 1
Ba2HPd2: optimized geometry, PBE.

abc: 8.3792 8.3792 4.0779
angles: 90.00 90.00 90.00
Closest atoms and distances in Å follow each position.
Space group P4/mbm (No. 127)
Inequivalent atoms, fractional coordinates:
Ba: 0.1879 0.3121 0.0000 (multiplicity 4)  6 Pd 3.13-3.30
H: 0.0000 0.0000 0.5000 (multiplicity 2)  4 Pd 3.39, 8 Ba 3.67
Pd: 0.1118 0.6118 0.5000 (multiplicity 4)  1 Pd 2.65

Energy above the lowest structure with this stoichiometry (eV per atom): 0.316
Magnetization (Bohr magnetons per cell): 0.000
Theoretical density (g/cm3): 5.666
Final energy (eV per atom): -3.65

***

# 2
Ba3H12Pd5: optimized geometry, PBE.

abc: 12.6785 12.6785 12.6785
angles: 90.00 90.00 90.00
Closest atoms and distances in Å follow each position.
Space group Ia-3d (No. 230)
Inequivalent atoms, fractional coordinates:
Ba: 0.0000 0.2500 0.1250 (multiplicity 24)  8 H 2.68-2.82
H: 0.0327 0.1305 0.9539 (multiplicity 96)  2 Pd 1.80-1.86
Pd: 0.0000 0.0000 0.0000 (multiplicity 16)  6 H 1.80
Pd: 0.0000 0.2500 0.3750 (multiplicity 24)  4 H 1.86

Magnetization (Bohr magnetons per cell): 0.000
Theoretical density (g/cm3): 6.233
Final energy (eV per atom): -3.82

***

Q: What is the formula in the second record?
A: Ba3H12Pd5